[1]
# Li3Co5I12

A geometry-optimized Li3Co5I12 structure (PBE, the Alexandria database).

The structure belongs to space group Ia-3d (No. 230); the cell edges are 17.287, 17.287 and 17.287 Å and the angles 90.00°, 90.00° and 90.00°. Symmetry generates all atoms from Li at (0.000, 0.250, 0.125), Co at (0.000, 0.000, 0.000), Co at (0.000, 0.250, 0.375) and I at (0.029, 0.055, 0.649).

The calculation puts the final energy at -3.223 eV/atom. The calculation puts the density of states at the Fermi level at 0.868 states/eV per atom.

[2]
# Sm2Y3Cd2

A geometry-optimized Sm2Y3Cd2 structure (PBE, the Alexandria database).

The structure belongs to space group R-3m (No. 166, hexagonal axes); the cell edges are 5.4499, 5.4499 and 24.0999 Å and the angles 90.00°, 90.00° and 120.00°. Symmetry generates all atoms from Sm at (0.0000, 0.0000, 0.0754), Y at (0.0000, 0.0000, 0.3437), Y at (0.0000, 0.0000, 0.5000) and Cd at (0.0000, 0.0000, 0.2131).

Its energy of formation is -0.152 eV/atom. For the energy relative to the lowest polymorph listed for this composition, the calculation gives 0.00 eV per formula unit. The calculation puts the density of states at the Fermi level at 1.331 states/eV per atom.

[3]
# NaC3O

A geometry-optimized NaC3O structure (PBE, the Alexandria database).

The structure belongs to space group Pm-3m (No. 221); the cell edges are 3.940, 3.940 and 3.940 Å and the angles 90.00°, 90.00° and 90.00°. Symmetry generates all atoms from Na at (0.000, 0.000, 0.000), C at (0.000, 0.500, 0.500) and O at (0.500, 0.500, 0.500).

For the energy relative to the lowest polymorph listed for this composition, the calculation gives 0.00 eV per formula unit. The calculation puts the density of states at the Fermi level at 0.599 states/eV per atom.

[4]
# SiAg8

A geometry-optimized SiAg8 structure (PBE, the Alexandria database).

The structure belongs to space group I4/mmm (No. 139); the cell edges are 8.639, 8.639 and 4.238 Å and the angles 90.00°, 90.00° and 90.00°. Symmetry generates all atoms from Si at (0.000, 0.000, 0.000), Ag at (0.000, 0.329, 0.000) and Ag at (0.164, 0.164, 0.500).

The calculation puts the final energy at -3.034 eV/atom. The calculation puts the density of states at the Fermi level at 0.280 states/eV per atom.

[5]
# TiZn2Au

A geometry-optimized TiZn2Au structure (PBE, the Alexandria database).

The structure belongs to space group P4/mmm (No. 123); the cell edges are 3.945, 3.945 and 4.122 Å and the angles 90.00°, 90.00° and 90.00°. Symmetry generates all atoms from Ti at (0.000, 0.000, 0.000), Zn at (0.000, 0.500, 0.500) and Au at (0.500, 0.500, 0.000).

Its energy of formation is -0.230 eV/atom. The calculation puts the density of states at the Fermi level at 0.784 states/eV per atom.

[6]
# La3MnBe

A geometry-optimized La3MnBe structure (PBE, the Alexandria database).

The structure belongs to space group Pm-3m (No. 221); the cell edges are 5.192, 5.192 and 5.192 Å and the angles 90.00°, 90.00° and 90.00°. Symmetry generates all atoms from La at (0.000, 0.000, 0.500), Mn at (0.000, 0.000, 0.000) and Be at (0.500, 0.500, 0.500).

Its energy of formation is 0.398 eV/atom. The calculation puts the density of states at the Fermi level at 1.446 states/eV per atom.

[7]
# CaSe

A geometry-optimized CaSe structure (PBE, the Alexandria database).

The structure belongs to space group Fddd (No. 70, origin choice 2); the cell edges are 9.554, 12.136 and 12.668 Å and the angles 90.00°, 90.00° and 90.00°. Symmetry generates all atoms from Ca at (0.125, 0.125, 0.279) and Se at (0.125, 0.299, 0.125).

The calculation puts the final energy at -4.452 eV/atom. The calculation puts the density of states at the Fermi level at 0.000 states/eV per atom.

[8]
# CsBaOs2Ru

A geometry-optimized CsBaOs2Ru structure (PBE, the Alexandria database).

The structure belongs to space group P4/mmm (No. 123); the cell edges are 5.178, 5.178 and 5.084 Å and the angles 90.00°, 90.00° and 90.00°. Symmetry generates all atoms from Cs at (0.000, 0.000, 0.000), Ba at (0.500, 0.500, 0.500), Os at (0.000, 0.500, 0.000) and Ru at (0.000, 0.000, 0.500).

Its energy of formation is 2.814 eV/atom. The calculation puts the density of states at the Fermi level at 2.036 states/eV per atom.

[9]
# Sc12Co6Ru

A geometry-optimized Sc12Co6Ru structure (PBE, the Alexandria database).

The structure belongs to space group Im-3 (No. 204); the cell edges are 8.854, 8.854 and 8.854 Å and the angles 90.00°, 90.00° and 90.00°. Symmetry generates all atoms from Sc at (0.000, 0.290, 0.194), Co at (0.000, 0.122, 0.500) and Ru at (0.000, 0.000, 0.000).

Its energy of formation is -0.253 eV/atom. The calculation puts the density of states at the Fermi level at 1.084 states/eV per atom.

[10]
# EuHg2Bi

A geometry-optimized EuHg2Bi structure (PBE, the Alexandria database).

The structure belongs to space group P4/mmm (No. 123); the cell edges are 4.672, 4.672 and 5.139 Å and the angles 90.00°, 90.00° and 90.00°. Symmetry generates all atoms from Eu at (0.000, 0.000, 0.000), Hg at (0.000, 0.500, 0.500) and Bi at (0.500, 0.500, 0.000).

Its energy of formation is -0.440 eV/atom. The calculation puts the density of states at the Fermi level at 1.519 states/eV per atom.

[11]
# BaSnH2F

A geometry-optimized BaSnH2F structure (PBE, the Alexandria database).

The structure belongs to space group P4/mmm (No. 123); the cell edges are 3.960, 3.960 and 7.077 Å and the angles 90.00°, 90.00° and 90.00°. Symmetry generates all atoms from Ba at (0.000, 0.000, 0.000), Sn at (0.000, 0.000, 0.500), H at (0.000, 0.500, 0.500) and F at (0.500, 0.500, 0.000).

The calculation puts the final energy at -3.800 eV/atom. The calculation puts the density of states at the Fermi level at 0.268 states/eV per atom.

[12]
# BeAsAu

A geometry-optimized BeAsAu structure (PBE, the Alexandria database).

The structure belongs to space group P-1 (No. 2); the cell edges are 3.886, 5.450 and 5.788 Å and the angles 109.74°, 101.93° and 98.82°. Symmetry generates all atoms from Be at (0.094, 0.301, 0.400), As at (0.459, 0.663, 0.786) and Au at (0.305, 0.130, 0.717).

Its energy of formation is 0.004 eV/atom. The calculation puts the density of states at the Fermi level at 0.316 states/eV per atom.

[13]
# Sr2NdTlS4

A geometry-optimized Sr2NdTlS4 structure (PBE, the Alexandria database).

The structure belongs to space group P2/m (No. 10); the cell edges are 7.260, 4.272 and 7.564 Å and the angles 90.00°, 108.75° and 90.00°. Symmetry generates all atoms from Sr at (0.000, 0.000, 0.000), Sr at (0.000, 0.500, 0.500), Nd at (0.500, 0.000, 0.500), Tl at (0.500, 0.500, 0.000), S at (0.247, 0.000, 0.722) and S at (0.258, 0.500, 0.270).

The calculation puts the final energy at -5.104 eV/atom.

[14]
# TlTcBr5

A geometry-optimized TlTcBr5 structure (PBE, the Alexandria database).

The structure belongs to space group C2/c (No. 15); the cell edges are 8.748, 24.544 and 6.070 Å and the angles 90.00°, 120.47° and 90.00°. Symmetry generates all atoms from Tl at (0.000, 0.226, 0.250), Tc at (0.000, 0.000, 0.000), Br at (0.000, 0.083, 0.750), Br at (0.163, 0.303, 0.706) and Br at (0.233, 0.042, 0.420).

The calculation puts the final energy at -3.400 eV/atom. The calculation puts the density of states at the Fermi level at 0.842 states/eV per atom.

[15]
# BaGeI2N

A geometry-optimized BaGeI2N structure (PBE, the Alexandria database).

The structure belongs to space group P4/mmm (No. 123); the cell edges are 6.311, 6.311 and 3.786 Å and the angles 90.00°, 90.00° and 90.00°. Symmetry generates all atoms from Ba at (0.000, 0.000, 0.000), Ge at (0.500, 0.500, 0.500), I at (0.000, 0.500, 0.500) and N at (0.500, 0.500, 0.000).

For the energy relative to the lowest polymorph listed for this composition, the calculation gives 0.00 eV per formula unit. The calculation puts the density of states at the Fermi level at 0.141 states/eV per atom.

[16]
# ScCd2Cu

A geometry-optimized ScCd2Cu structure (PBE, the Alexandria database).

The structure belongs to space group C2/m (No. 12); the cell edges are 5.883, 9.363 and 2.970 Å and the angles 90.00°, 102.61° and 90.00°. Symmetry generates all atoms from Sc at (0.000, 0.000, 0.000), Cd at (0.250, 0.250, 0.500) and Cu at (0.000, 0.500, 0.000).

Its energy of formation is 0.042 eV/atom. The calculation puts the density of states at the Fermi level at 0.659 states/eV per atom.

[17]
# TmPaInHg

A geometry-optimized TmPaInHg structure (PBE, the Alexandria database).

The structure belongs to space group F-43m (No. 216); the cell edges are 7.461, 7.461 and 7.461 Å and the angles 90.00°, 90.00° and 90.00°. Symmetry generates all atoms from Tm at (0.000, 0.000, 0.000), Pa at (0.000, 0.000, 0.500), In at (0.250, 0.250, 0.750) and Hg at (0.250, 0.250, 0.250).

Its energy of formation is -0.057 eV/atom. The calculation puts the density of states at the Fermi level at 2.013 states/eV per atom.

[18]
# PmZn4Rh

A geometry-optimized PmZn4Rh structure (PBE, the Alexandria database).

The structure belongs to space group F-43m (No. 216); the cell edges are 7.348, 7.348 and 7.348 Å and the angles 90.00°, 90.00° and 90.00°. Symmetry generates all atoms from Pm at (0.000, 0.000, 0.000), Zn at (0.123, 0.123, 0.623) and Rh at (0.250, 0.250, 0.250).

Its energy of formation is -0.418 eV/atom.

[19]
# LiMnIr

A geometry-optimized LiMnIr structure (PBE, the Alexandria database).

The structure belongs to space group Imm2 (No. 44); the cell edges are 2.780, 3.688 and 7.749 Å and the angles 90.00°, 90.00° and 90.00°. Symmetry generates all atoms from Li at (0.000, 0.000, 0.000), Mn at (0.000, 0.000, 0.676) and Ir at (0.000, 0.000, 0.329).

Its energy of formation is 0.001 eV/atom. For the energy relative to the lowest polymorph listed for this composition, the calculation gives 0.22 eV per formula unit. The calculation puts the density of states at the Fermi level at 1.016 states/eV per atom.

[20]
# ZrTiNb

A geometry-optimized ZrTiNb structure (PBE, the Alexandria database).

The structure belongs to space group Fmm2 (No. 42); the cell edges are 3.486, 4.678 and 14.228 Å and the angles 90.00°, 90.00° and 90.00°. Symmetry generates all atoms from Zr at (0.000, 0.000, 0.000), Ti at (0.000, 0.000, 0.674) and Nb at (0.000, 0.000, 0.324).

Its energy of formation is 0.101 eV/atom. For the energy relative to the lowest polymorph listed for this composition, the calculation gives 0.13 eV per formula unit. The calculation puts the density of states at the Fermi level at 1.896 states/eV per atom.

[21]
# LaTcCl3

A geometry-optimized LaTcCl3 structure (PBE, the Alexandria database).

The structure belongs to space group Pm-3m (No. 221); the cell edges are 4.770, 4.770 and 4.770 Å and the angles 90.00°, 90.00° and 90.00°. Symmetry generates all atoms from La at (0.000, 0.000, 0.000), Tc at (0.500, 0.500, 0.500) and Cl at (0.000, 0.500, 0.500).

For the energy relative to the lowest polymorph listed for this composition, the calculation gives 0.00 eV per formula unit. The calculation puts the density of states at the Fermi level at 0.787 states/eV per atom.

Total magnetization, record by record: 112.57, 0.00, 0.00, 0.00, 0.00, 0.00, 0.00, 4.40, 0.00, 6.89, 0.00, 0.00, 0.00, 5.81, 0.15, 0.50, 5.12, 0.00, 6.31, 0.00, 0.00 μB/cell